Below is a geometry-optimized Ba2LiCrF structure, with properties calculated at the PBE with a Hubbard U level.

The structure belongs to space group P4/mmm (No. 123); the cell edges are 6.6495, 6.6495 and 3.6127 Å and the angles 90.00°, 90.00° and 90.00°. The asymmetric unit holds Ba at (0.0000, 0.5000, 0.0000), Li at (0.0000, 0.0000, 0.0000), Cr at (0.5000, 0.5000, 0.5000) and F at (0.0000, 0.0000, 0.5000).

For the total energy, the calculation gives -3.10 eV per atom. The calculation puts the density of states at the Fermi level at 4.788 states/eV per cell.